Entry 1:
# YSbTe2I meta-GGA SCAN PBEsol geometry
data_YSbTe2I
_cell_length_a 5.613
_cell_length_b 5.613
_cell_length_c 5.676
_cell_angle_alpha 90.00
_cell_angle_beta 90.00
_cell_angle_gamma 90.00
_space_group_name_H-M_alt 'P 1'
_space_group_IT_number 1
loop_
_space_group_symop_operation_xyz
'x,y,z'
loop_
_atom_site_label
_atom_site_type_symbol
_atom_site_fract_x
_atom_site_fract_y
_atom_site_fract_z
Sb1 Sb 0.000 0.000 0.500
I1 I 0.000 0.000 0.000
Te1 Te 0.500 0.000 0.000
Te2 Te 0.000 0.500 0.000
Y1 Y 0.500 0.500 0.500
# Offset from the most stable computed form in eV/atom: 0.654
# E_tot in hartree per atom: -1.27875
# Crystal system: tetragonal
# Total magnetic moment in μB per formula unit: 0.000
# Energy relative to the elements, uncorrected in meV/atom: 473

=====

Entry 2:
# Ca3PI3 meta-GGA SCAN PBEsol geometry
data_Ca3PI3
_cell_length_a 10.546
_cell_length_b 10.546
_cell_length_c 10.546
_cell_angle_alpha 109.47
_cell_angle_beta 109.47
_cell_angle_gamma 109.47
_space_group_name_H-M_alt 'P 1'
_space_group_IT_number 1
loop_
_space_group_symop_operation_xyz
'x,y,z'
loop_
_atom_site_label
_atom_site_type_symbol
_atom_site_fract_x
_atom_site_fract_y
_atom_site_fract_z
Ca1 Ca 0.517 0.983 0.750
Ca2 Ca 0.533 0.767 0.017
Ca3 Ca 0.767 0.517 0.033
Ca4 Ca 0.767 0.250 0.233
Ca5 Ca 0.250 0.733 0.267
Ca6 Ca 0.983 0.250 0.017
Ca7 Ca 0.733 0.767 0.750
Ca8 Ca 0.733 0.967 0.483
Ca9 Ca 0.983 0.733 0.467
Ca10 Ca 0.250 0.517 0.483
Ca11 Ca 0.967 0.983 0.233
Ca12 Ca 0.517 0.533 0.267
I1 I 0.495 0.489 0.745
I2 I 0.245 0.495 0.989
I3 I 0.750 0.495 0.505
I4 I 0.495 0.005 0.250
I5 I 0.005 0.255 0.511
I6 I 0.750 0.255 0.745
I7 I 0.011 0.005 0.755
I8 I 0.245 0.750 0.755
I9 I 0.255 0.245 0.250
I10 I 0.489 0.245 0.995
I11 I 0.255 0.011 0.505
I12 I 0.005 0.750 0.995
P1 P 0.000 0.500 0.250
P2 P 0.750 0.750 0.250
P3 P 0.750 0.000 0.000
P4 P 0.500 0.750 0.500
# E_tot in hartree per atom: -0.84750
# Crystal system: cubic
# Total magnetic moment in μB per formula unit: 0.000
# Energy relative to the elements, uncorrected in meV/atom: -1688

=====

Entry 3:
# Li3PH meta-GGA SCAN PBEsol geometry
data_Li3PH
_cell_length_a 3.801
_cell_length_b 3.801
_cell_length_c 3.801
_cell_angle_alpha 90.00
_cell_angle_beta 90.00
_cell_angle_gamma 90.00
_space_group_name_H-M_alt 'P 1'
_space_group_IT_number 1
loop_
_space_group_symop_operation_xyz
'x,y,z'
loop_
_atom_site_label
_atom_site_type_symbol
_atom_site_fract_x
_atom_site_fract_y
_atom_site_fract_z
Li1 Li 0.000 0.500 0.000
Li2 Li 0.000 0.000 0.500
Li3 Li 0.500 0.000 0.000
H1 H 0.000 0.000 0.000
P1 P 0.500 0.500 0.500
# E_tot in hartree per atom: -0.17245
# Crystal system: cubic
# Total magnetic moment in μB per formula unit: 0.001

=====

Entry 4:
# CoReBr2 meta-GGA SCAN PBEsol geometry
data_CoReBr2
_cell_length_a 3.046
_cell_length_b 3.046
_cell_length_c 7.931
_cell_angle_alpha 78.93
_cell_angle_beta 78.93
_cell_angle_gamma 60.00
_space_group_name_H-M_alt 'P 1'
_space_group_IT_number 1
loop_
_space_group_symop_operation_xyz
'x,y,z'
loop_
_atom_site_label
_atom_site_type_symbol
_atom_site_fract_x
_atom_site_fract_y
_atom_site_fract_z
Re1 Re 0.000 0.000 0.000
Br1 Br 0.755 0.755 0.735
Br2 Br 0.245 0.245 0.265
Co1 Co 0.500 0.500 0.500
# Offset from the most stable computed form in eV/atom: 0.675
# E_tot in hartree per atom: -1.12830
# Crystal system: trigonal
# Total magnetic moment in μB per formula unit: 0.263
# Energy relative to the elements, uncorrected in meV/atom: 1127

=====

Entry 5:
# BaRhSeBr2 meta-GGA SCAN PBEsol geometry
data_BaRhSeBr2
_cell_length_a 4.937
_cell_length_b 5.087
_cell_length_c 5.087
_cell_angle_alpha 90.00
_cell_angle_beta 90.00
_cell_angle_gamma 90.00
_space_group_name_H-M_alt 'P 1'
_space_group_IT_number 1
loop_
_space_group_symop_operation_xyz
'x,y,z'
loop_
_atom_site_label
_atom_site_type_symbol
_atom_site_fract_x
_atom_site_fract_y
_atom_site_fract_z
Se1 Se 0.500 0.000 0.000
Br1 Br 0.000 0.500 0.000
Br2 Br 0.000 0.000 0.500
Rh1 Rh 0.000 0.000 0.000
Ba1 Ba 0.500 0.500 0.500
# E_tot in hartree per atom: -1.01577
# Crystal system: tetragonal
# Total magnetic moment in μB per formula unit: 0.001
# Energy relative to the elements, uncorrected in meV/atom: -1177

=====

Entry 6:
# Tc2NiRh meta-GGA SCAN PBEsol geometry
data_Tc2NiRh
_cell_length_a 2.644
_cell_length_b 4.209
_cell_length_c 4.637
_cell_angle_alpha 90.00
_cell_angle_beta 90.00
_cell_angle_gamma 90.00
_space_group_name_H-M_alt 'P 1'
_space_group_IT_number 1
loop_
_space_group_symop_operation_xyz
'x,y,z'
loop_
_atom_site_label
_atom_site_type_symbol
_atom_site_fract_x
_atom_site_fract_y
_atom_site_fract_z
Tc1 Tc 0.000 0.000 0.033
Tc2 Tc 0.000 0.500 0.706
Rh1 Rh 0.500 0.500 0.221
Ni1 Ni 0.500 0.000 0.539
# Offset from the most stable computed form in eV/atom: 0.000
# E_tot in hartree per atom: -1.10685
# Crystal system: orthorhombic
# Total magnetic moment in μB per formula unit: 0.000

=====

Entry 7:
# ZrTi2Ga2 meta-GGA SCAN PBEsol geometry
data_ZrTi2Ga2
_cell_length_a 3.179
_cell_length_b 7.273
_cell_length_c 7.273
_cell_angle_alpha 90.00
_cell_angle_beta 90.00
_cell_angle_gamma 90.00
_space_group_name_H-M_alt 'P 1'
_space_group_IT_number 1
loop_
_space_group_symop_operation_xyz
'x,y,z'
loop_
_atom_site_label
_atom_site_type_symbol
_atom_site_fract_x
_atom_site_fract_y
_atom_site_fract_z
Ga1 Ga 0.000 0.377 0.877
Ga2 Ga 0.000 0.623 0.123
Ga3 Ga 0.000 0.123 0.377
Ga4 Ga 0.000 0.877 0.623
Zr1 Zr 0.000 0.500 0.500
Zr2 Zr 0.000 0.000 0.000
Ti1 Ti 0.500 0.323 0.177
Ti2 Ti 0.500 0.677 0.823
Ti3 Ti 0.500 0.177 0.677
Ti4 Ti 0.500 0.823 0.323
# E_tot in hartree per atom: -0.72101
# Crystal system: tetragonal
# Total magnetic moment in μB per formula unit: 0.000

=====

Entry 8:
# CuTc2Br meta-GGA SCAN PBEsol geometry
data_CuTc2Br
_cell_length_a 2.860
_cell_length_b 4.407
_cell_length_c 5.365
_cell_angle_alpha 114.25
_cell_angle_beta 105.46
_cell_angle_gamma 90.00
_space_group_name_H-M_alt 'P 1'
_space_group_IT_number 1
loop_
_space_group_symop_operation_xyz
'x,y,z'
loop_
_atom_site_label
_atom_site_type_symbol
_atom_site_fract_x
_atom_site_fract_y
_atom_site_fract_z
Br1 Br 0.479 0.479 0.957
Tc1 Tc 0.749 0.249 0.499
Tc2 Tc 0.025 0.025 0.049
Cu1 Cu 0.247 0.747 0.495
# Offset from the most stable computed form in eV/atom: 0.189
# E_tot in hartree per atom: -0.93039
# Crystal system: orthorhombic
# Total magnetic moment in μB per formula unit: 0.000
# Energy relative to the elements, uncorrected in meV/atom: 878

=====

Entry 9:
# La2Zn3Ge6 meta-GGA SCAN PBEsol geometry
data_La2Zn3Ge6
_cell_length_a 5.920
_cell_length_b 5.925
_cell_length_c 12.665
_cell_angle_alpha 76.47
_cell_angle_beta 90.00
_cell_angle_gamma 90.00
_space_group_name_H-M_alt 'P 1'
_space_group_IT_number 1
loop_
_space_group_symop_operation_xyz
'x,y,z'
loop_
_atom_site_label
_atom_site_type_symbol
_atom_site_fract_x
_atom_site_fract_y
_atom_site_fract_z
Zn1 Zn 0.250 0.340 0.320
Zn2 Zn 0.000 0.763 0.000
Zn3 Zn 0.750 0.660 0.680
Zn4 Zn 0.500 0.237 0.000
Zn5 Zn 0.500 0.763 0.000
Zn6 Zn 0.000 0.237 0.000
Ge1 Ge 0.466 0.417 0.598
Ge2 Ge 0.034 0.417 0.598
Ge3 Ge 0.534 0.583 0.402
Ge4 Ge 0.466 0.985 0.598
Ge5 Ge 0.534 0.015 0.402
Ge6 Ge 0.966 0.583 0.402
Ge7 Ge 0.250 0.442 0.115
Ge8 Ge 0.750 0.933 0.134
Ge9 Ge 0.250 0.067 0.866
Ge10 Ge 0.966 0.015 0.402
Ge11 Ge 0.034 0.985 0.598
Ge12 Ge 0.750 0.558 0.885
La1 La 0.750 0.395 0.210
La2 La 0.250 0.605 0.790
La3 La 0.750 0.105 0.789
La4 La 0.250 0.895 0.211
# E_tot in hartree per atom: -0.82418
# Crystal system: orthorhombic
# Total magnetic moment in μB per formula unit: 0.000

=====

Entry 10:
# CsHgS2 meta-GGA SCAN PBEsol geometry
data_CsHgS2
_cell_length_a 3.976
_cell_length_b 3.976
_cell_length_c 9.294
_cell_angle_alpha 77.65
_cell_angle_beta 77.65
_cell_angle_gamma 60.00
_space_group_name_H-M_alt 'P 1'
_space_group_IT_number 1
loop_
_space_group_symop_operation_xyz
'x,y,z'
loop_
_atom_site_label
_atom_site_type_symbol
_atom_site_fract_x
_atom_site_fract_y
_atom_site_fract_z
S1 S 0.884 0.884 0.348
S2 S 0.116 0.116 0.652
Hg1 Hg 0.500 0.500 0.500
Cs1 Cs 0.000 0.000 0.000
# E_tot in hartree per atom: -1.15191
# Crystal system: trigonal
# Total magnetic moment in μB per formula unit: 1.022
# Energy relative to the elements, uncorrected in meV/atom: -37

=====

Question: total magnetic moment of number 4 (CoReBr2)?
Answer: 0.263 μB per formula unit